[1]
Entry from Alexandria via LeMat-Bulk: a relaxed structure of La3YAg2 (PBE).

a b c (Å): 5.313 9.595 7.099
angles (deg): 90.00 90.00 90.00
Space group Pmc2_1 (No. 26)
One atom of each set of equivalent atoms:
La 0.000 0.066 0.000 (multiplicity 2)
La 0.000 0.333 0.342 (multiplicity 2)
La 0.500 0.168 0.667 (multiplicity 2)
Y 0.500 0.442 0.013 (multiplicity 2)
Ag 0.000 0.354 0.782 (multiplicity 2)
Ag 0.500 0.161 0.228 (multiplicity 2)

Summary:
Total magnetization ... 0.0 μB/f.u.
Density ... 6.6 g/cm³
ΔH_f (0 K) ... -0.162 eV/atom

***

[2]
Entry from Alexandria via LeMat-Bulk: a relaxed structure of LaYAg4 (PBE).

a b c (Å): 8.187 8.187 8.187
angles (deg): 90.00 90.00 90.00
Space group F-43m (No. 216)
One atom of each set of equivalent atoms:
La 0.000 0.000 0.000 (multiplicity 4)
Y 0.250 0.250 0.750 (multiplicity 4)
Ag 0.125 0.125 0.375 (multiplicity 16)

Summary:
Total magnetization ... 0.0 μB/f.u.
Density ... 8.0 g/cm³
ΔH_f (0 K) ... -0.163 eV/atom
Distance to the lowest polymorph of the same formula ... 98.6 meV per atom

***

[3]
Entry from Alexandria via LeMat-Bulk: a relaxed structure of LaYZnAg (PBE).

a b c (Å): 3.680 3.680 7.492
angles (deg): 90.00 90.00 90.00
Space group P4mm (No. 99)
One atom of each set of equivalent atoms:
La 0.000 0.000 0.000 (multiplicity 1)
Y 0.000 0.000 0.515 (multiplicity 1)
Zn 0.500 0.500 0.738 (multiplicity 1)
Ag 0.500 0.500 0.286 (multiplicity 1)

Summary:
Total magnetization ... 0.0 μB/f.u.
Density ... 6.6 g/cm³
ΔH_f (0 K) ... -0.312 eV/atom
Distance to the lowest polymorph of the same formula ... 0.0 meV per atom

***

[4]
Entry from Alexandria via LeMat-Bulk: a relaxed structure of LaYZnAg (PBE).

a b c (Å): 7.430 7.430 7.430
angles (deg): 90.00 90.00 90.00
Space group F-43m (No. 216)
One atom of each set of equivalent atoms:
La 0.000 0.000 0.000 (multiplicity 4)
Y 0.000 0.000 0.500 (multiplicity 4)
Zn 0.250 0.250 0.750 (multiplicity 4)
Ag 0.250 0.250 0.250 (multiplicity 4)

Summary:
Total magnetization ... 0.0 μB/f.u.
Density ... 6.5 g/cm³
ΔH_f (0 K) ... -0.293 eV/atom
Distance to the lowest polymorph of the same formula ... 19.4 meV per atom

***

[5]
Entry from Alexandria via LeMat-Bulk: a relaxed structure of LaZnAg2 (PBE).

a b c (Å): 5.541 13.225 5.542
angles (deg): 90.00 118.47 90.00
Space group C2/c (No. 15)
One atom of each set of equivalent atoms:
La 0.000 0.128 0.250 (multiplicity 4)
Zn 0.000 0.248 0.750 (multiplicity 4)
Ag 0.161 0.413 0.097 (multiplicity 8)

Summary:
Total magnetization ... 0.0 μB/f.u.
Density ... 7.8 g/cm³
ΔH_f (0 K) ... -0.265 eV/atom

***

[6]
Entry from Alexandria via LeMat-Bulk: a relaxed structure of LaZnAg2 (PBE).

a b c (Å): 3.494 3.494 7.150
angles (deg): 90.00 90.00 90.00
Space group P4mm (No. 99)
One atom of each set of equivalent atoms:
La 0.000 0.000 0.000 (multiplicity 1)
Zn 0.500 0.500 0.298 (multiplicity 1)
Ag 0.000 0.000 0.478 (multiplicity 1)
Ag 0.500 0.500 0.694 (multiplicity 1)

Summary:
Total magnetization ... 0.0 μB/f.u.
Density ... 8.0 g/cm³
ΔH_f (0 K) ... -0.147 eV/atom

***

[7]
Entry from Alexandria via LeMat-Bulk: a relaxed structure of LaZnAg2 (PBE).

a b c (Å): 3.400 3.400 7.440
angles (deg): 90.00 90.00 90.00
Space group P4/mmm (No. 123)
One atom of each set of equivalent atoms:
La 0.000 0.000 0.000 (multiplicity 1)
Zn 0.000 0.000 0.500 (multiplicity 1)
Ag 0.500 0.500 0.305 (multiplicity 2)

Summary:
Total magnetization ... 0.0 μB/f.u.
Density ... 8.1 g/cm³
ΔH_f (0 K) ... -0.126 eV/atom

***

[8]
Entry from Alexandria via LeMat-Bulk: a relaxed structure of LaZn2Ag (PBE).

a b c (Å): 3.409 4.223 6.324
angles (deg): 90.00 105.56 90.00
Space group Pm (No. 6)
One atom of each set of equivalent atoms:
La 0.000 0.000 0.000 (multiplicity 1)
Zn 0.628 0.500 0.258 (multiplicity 1)
Zn 0.739 0.000 0.482 (multiplicity 1)
Ag 0.317 0.500 0.634 (multiplicity 1)

Summary:
Total magnetization ... 0.0 μB/f.u.
Density ... 7.1 g/cm³
ΔH_f (0 K) ... -0.152 eV/atom

***

[9]
Entry from Alexandria via LeMat-Bulk: a relaxed structure of La6ZnAg (PBE).

a b c (Å): 6.831 6.842 8.273
angles (deg): 113.97 90.10 119.70
Space group P-1 (No. 2)
One atom of each set of equivalent atoms:
La 0.055 0.272 0.222 (multiplicity 2)
La 0.286 0.339 0.780 (multiplicity 2)
La 0.442 0.004 0.221 (multiplicity 2)
Zn 0.000 0.500 0.000 (multiplicity 1)
Ag 0.500 0.500 0.500 (multiplicity 1)

Summary:
Total magnetization ... 0.0 μB/f.u.
Density ... 5.6 g/cm³
ΔH_f (0 K) ... 0.122 eV/atom

***

[10]
Entry from Alexandria via LeMat-Bulk: a relaxed structure of La6ZnAg2 (PBE).

a b c (Å): 10.316 10.416 10.434
angles (deg): 90.00 90.00 90.00
Space group Immm (No. 71)
One atom of each set of equivalent atoms:
La 0.000 0.169 0.229 (multiplicity 8)
La 0.173 0.500 0.237 (multiplicity 8)
La 0.193 0.245 0.500 (multiplicity 8)
Zn 0.000 0.000 0.500 (multiplicity 2)
Zn 0.000 0.500 0.500 (multiplicity 2)
Ag 0.000 0.365 0.000 (multiplicity 4)
Ag 0.142 0.000 0.000 (multiplicity 4)

Summary:
Total magnetization ... 0.0 μB/f.u.
Density ... 6.6 g/cm³
ΔH_f (0 K) ... -0.141 eV/atom
Distance to the lowest polymorph of the same formula ... 0.0 meV per atom

***

[11]
Entry from Alexandria via LeMat-Bulk: a relaxed structure of LaZn10Ag (PBE).

a b c (Å): 4.419 5.063 9.448
angles (deg): 90.00 90.00 90.00
Space group Pmmm (No. 47)
One atom of each set of equivalent atoms:
La 0.000 0.000 0.000 (multiplicity 1)
Zn 0.000 0.000 0.351 (multiplicity 2)
Zn 0.000 0.500 0.210 (multiplicity 2)
Zn 0.500 0.000 0.500 (multiplicity 1)
Zn 0.500 0.243 0.240 (multiplicity 4)
Zn 0.500 0.500 0.000 (multiplicity 1)
Ag 0.000 0.500 0.500 (multiplicity 1)

Summary:
Total magnetization ... 0.0 μB/f.u.
Density ... 7.1 g/cm³
ΔH_f (0 K) ... -0.114 eV/atom

***

[12]
Entry from Alexandria via LeMat-Bulk: a relaxed structure of La4ZnAg2 (PBE).

a b c (Å): 5.3393 5.3393 25.8295
angles (deg): 90.00 90.00 120.00
Space group R-3m (No. 166, hexagonal axes)
One atom of each set of equivalent atoms:
La 0.0000 0.0000 0.1222 (multiplicity 6)
La 0.0000 0.0000 0.3739 (multiplicity 6)
Zn 0.0000 0.0000 0.5000 (multiplicity 3)
Ag 0.0000 0.0000 0.2471 (multiplicity 6)

Summary:
Total magnetization ... 1.4 μB/f.u.
Density ... 6.5 g/cm³
ΔH_f (0 K) ... -0.140 eV/atom

***

[13]
Entry from Alexandria via LeMat-Bulk: a relaxed structure of La2ZnAg2 (PBE).

a b c (Å): 3.861 3.861 17.956
angles (deg): 90.00 90.00 90.00
Space group I4/mmm (No. 139)
One atom of each set of equivalent atoms:
La 0.000 0.000 0.101 (multiplicity 4)
Zn 0.000 0.000 0.500 (multiplicity 2)
Ag 0.000 0.500 0.250 (multiplicity 4)

Summary:
Total magnetization ... 0.0 μB/f.u.
Density ... 6.9 g/cm³
ΔH_f (0 K) ... -0.112 eV/atom
Distance to the lowest polymorph of the same formula ... 170.3 meV per atom

***

[14]
Entry from Alexandria via LeMat-Bulk: a relaxed structure of La2Zn2Ag (PBE).

a b c (Å): 6.002 6.002 7.597
angles (deg): 90.00 90.00 90.00
Space group I4/mmm (No. 139)
One atom of each set of equivalent atoms:
La 0.000 0.500 0.250 (multiplicity 4)
Zn 0.000 0.000 0.152 (multiplicity 4)
Ag 0.000 0.000 0.500 (multiplicity 2)

Summary:
Total magnetization ... 0.8 μB/f.u.
Density ... 6.3 g/cm³
ΔH_f (0 K) ... -0.048 eV/atom
Distance to the lowest polymorph of the same formula ... 250.9 meV per atom

***

[15]
Entry from Alexandria via LeMat-Bulk: a relaxed structure of La4Zn3Ag (PBE).

a b c (Å): 3.790 3.790 15.045
angles (deg): 90.00 90.00 90.00
Space group P4/mmm (No. 123)
One atom of each set of equivalent atoms:
La 0.000 0.000 0.125 (multiplicity 2)
La 0.000 0.000 0.369 (multiplicity 2)
Zn 0.500 0.500 0.000 (multiplicity 1)
Zn 0.500 0.500 0.246 (multiplicity 2)
Ag 0.500 0.500 0.500 (multiplicity 1)

Summary:
Total magnetization ... 0.0 μB/f.u.
Density ... 6.6 g/cm³
ΔH_f (0 K) ... -0.300 eV/atom

***

[16]
Entry from Alexandria via LeMat-Bulk: a relaxed structure of LaZn2Ag2 (PBE).

a b c (Å): 4.775 10.056 9.010
angles (deg): 90.00 90.00 90.00
Space group Cmcm (No. 63)
One atom of each set of equivalent atoms:
La 0.000 0.092 0.250 (multiplicity 4)
Zn 0.000 0.216 0.606 (multiplicity 8)
Ag 0.000 0.399 0.097 (multiplicity 8)

Summary:
Total magnetization ... 0.0 μB/f.u.
Density ... 7.5 g/cm³
ΔH_f (0 K) ... -0.205 eV/atom
Distance to the lowest polymorph of the same formula ... 39.9 meV per atom

***

[17]
Entry from Alexandria via LeMat-Bulk: a relaxed structure of La2ZnAg (PBE).

a b c (Å): 11.991 3.830 5.055
angles (deg): 90.00 114.77 90.00
Space group Cm (No. 8)
One atom of each set of equivalent atoms:
La 0.000 0.000 0.000 (multiplicity 2)
La 0.210 0.000 0.709 (multiplicity 2)
Zn 0.446 0.000 0.446 (multiplicity 2)
Ag 0.266 0.500 0.265 (multiplicity 2)

Summary:
Total magnetization ... 0.0 μB/f.u.
Density ... 7.1 g/cm³
ΔH_f (0 K) ... -0.226 eV/atom

***

[18]
Entry from Alexandria via LeMat-Bulk: a relaxed structure of La2Zn9Ag (PBE).

a b c (Å): 5.5366 5.5366 26.1684
angles (deg): 90.00 90.00 120.00
Space group R-3m (No. 166, hexagonal axes)
One atom of each set of equivalent atoms:
La 0.0000 0.0000 0.1410 (multiplicity 6)
Zn 0.0000 0.0000 0.3346 (multiplicity 6)
Zn 0.0000 0.0000 0.5000 (multiplicity 3)
Zn 0.0020 0.5010 0.9199 (multiplicity 18)
Ag 0.0000 0.0000 0.0000 (multiplicity 3)

Summary:
Total magnetization ... 0.0 μB/f.u.
Density ... 7.0 g/cm³
ΔH_f (0 K) ... -0.092 eV/atom

***

[19]
Entry from Alexandria via LeMat-Bulk: a relaxed structure of La2Zn3Ag (PBE).

a b c (Å): 7.243 9.459 16.333
angles (deg): 90.00 90.00 90.00
Space group Fmmm (No. 69)
One atom of each set of equivalent atoms:
La 0.243 0.000 0.000 (multiplicity 8)
La 0.250 0.250 0.250 (multiplicity 8)
Zn 0.000 0.000 0.337 (multiplicity 8)
Zn 0.000 0.245 0.418 (multiplicity 16)
Ag 0.000 0.000 0.168 (multiplicity 8)

Summary:
Total magnetization ... 0.0 μB/f.u.
Density ... 6.9 g/cm³
ΔH_f (0 K) ... -0.344 eV/atom

***

[20]
Entry from Alexandria via LeMat-Bulk: a relaxed structure of LaZn3Ag (PBE).

a b c (Å): 6.509 10.579 6.014
angles (deg): 90.00 90.00 90.00
Space group Cmcm (No. 63)
One atom of each set of equivalent atoms:
La 0.000 0.230 0.250 (multiplicity 4)
Zn 0.000 0.346 0.750 (multiplicity 4)
Zn 0.203 0.500 0.000 (multiplicity 8)
Ag 0.000 0.100 0.750 (multiplicity 4)

Summary:
Total magnetization ... 0.0 μB/f.u.
Density ... 7.1 g/cm³
ΔH_f (0 K) ... -0.282 eV/atom
Distance to the lowest polymorph of the same formula ... 0.0 meV per atom

***

[21]
Entry from Alexandria via LeMat-Bulk: a relaxed structure of LaZnAg (PBE).

a b c (Å): 4.7815 4.7815 3.5885
angles (deg): 90.00 90.00 120.00
Space group P-6m2 (No. 187)
One atom of each set of equivalent atoms:
La 0.0000 0.0000 0.0000 (multiplicity 1)
Zn 0.6667 0.3333 0.5000 (multiplicity 1)
Ag 0.3333 0.6667 0.5000 (multiplicity 1)

Summary:
Total magnetization ... 0.0 μB/f.u.
Density ... 7.3 g/cm³
ΔH_f (0 K) ... -0.337 eV/atom

***

[22]
Entry from Alexandria via LeMat-Bulk: a relaxed structure of LaZn2Ag (PBE).

a b c (Å): 7.980 4.613 5.494
angles (deg): 90.00 119.07 90.00
Space group Cm (No. 8)
One atom of each set of equivalent atoms:
La 0.000 0.000 0.000 (multiplicity 2)
Zn 0.284 0.500 0.352 (multiplicity 2)
Zn 0.475 0.000 0.424 (multiplicity 2)
Ag 0.213 0.000 0.638 (multiplicity 2)

Summary:
Total magnetization ... 0.0 μB/f.u.
Density ... 7.1 g/cm³
ΔH_f (0 K) ... -0.241 eV/atom

***

[23]
Entry from Alexandria via LeMat-Bulk: a relaxed structure of LaZn2Ag (PBE).

a b c (Å): 4.5384 4.5384 14.8997
angles (deg): 90.00 90.00 120.00
Space group R-3m (No. 166, hexagonal axes)
One atom of each set of equivalent atoms:
La 0.0000 0.0000 0.0000 (multiplicity 3)
Zn 0.0000 0.0000 0.2130 (multiplicity 6)
Ag 0.0000 0.0000 0.5000 (multiplicity 3)

Summary:
Total magnetization ... 0.0 μB/f.u.
Density ... 7.1 g/cm³
ΔH_f (0 K) ... -0.250 eV/atom

***

[24]
Entry from Alexandria via LeMat-Bulk: a relaxed structure of LaZnAg2 (PBE).

a b c (Å): 6.029 10.607 3.291
angles (deg): 90.00 118.75 90.00
Space group C2/m (No. 12)
One atom of each set of equivalent atoms:
La 0.000 0.000 0.000 (multiplicity 2)
Zn 0.000 0.500 0.000 (multiplicity 2)
Ag 0.250 0.250 0.500 (multiplicity 4)

Summary:
Total magnetization ... 0.0 μB/f.u.
Density ... 7.6 g/cm³
ΔH_f (0 K) ... 0.082 eV/atom

***

[25]
Entry from Alexandria via LeMat-Bulk: a relaxed structure of La4Zn3Ag2 (PBE).

a b c (Å): 5.1652 5.1652 10.0717
angles (deg): 90.00 90.00 120.00
Space group P-3m1 (No. 164)
One atom of each set of equivalent atoms:
La 0.0000 0.0000 0.1535 (multiplicity 2)
La 0.3333 0.6667 0.6134 (multiplicity 2)
Zn 0.0000 0.0000 0.5000 (multiplicity 1)
Zn 0.3333 0.6667 0.0028 (multiplicity 2)
Ag 0.3333 0.6667 0.2909 (multiplicity 2)

Summary:
Total magnetization ... 0.0 μB/f.u.
Density ... 6.9 g/cm³
ΔH_f (0 K) ... -0.229 eV/atom

***

[26]
Entry from Alexandria via LeMat-Bulk: a relaxed structure of La3Zn2Ag2 (PBE).

a b c (Å): 3.707 4.779 20.483
angles (deg): 90.00 90.00 90.00
Space group Immm (No. 71)
One atom of each set of equivalent atoms:
La 0.000 0.000 0.000 (multiplicity 2)
La 0.000 0.500 0.190 (multiplicity 4)
Zn 0.000 0.000 0.436 (multiplicity 4)
Ag 0.000 0.500 0.365 (multiplicity 4)

Summary:
Total magnetization ... 0.0 μB/f.u.
Density ... 7.0 g/cm³
ΔH_f (0 K) ... -0.292 eV/atom